Computed, not measured: Cs3AcNp2Te6 after structural relaxation at the PBE level of DFT.

Results
Formation energy from raw total energies in eV per atom: -1.08

a b c (Å): 8.194 8.194 9.342
angles (deg): 98.42 98.42 120.00
Atoms (fractional coordinates):
Cs 0.000 0.000 0.000
Cs 0.337 0.663 0.000
Cs 0.663 0.337 0.000
Ac 0.500 0.500 0.500
Np 0.167 0.833 0.500
Np 0.833 0.167 0.500
Te 0.087 0.435 0.305
Te 0.216 0.216 0.693
Te 0.435 0.087 0.305
Te 0.565 0.913 0.695
Te 0.784 0.784 0.307
Te 0.913 0.565 0.695

=====

Computed, not measured: CsAcO2 after structural relaxation at the PBE level of DFT.

Results
Formation energy from raw total energies in eV per atom: -2.47
Relative energy among the computed polymorphs in eV/atom: 0.027

a b c (Å): 7.465 7.465 7.465
angles (deg): 30.28 30.28 30.28
Atoms (fractional coordinates):
Cs 0.000 0.000 0.000
Ac 0.829 0.829 0.829
O 0.218 0.218 0.218
O 0.436 0.436 0.436

=====

Computed, not measured: CsAcO after structural relaxation at the PBE level of DFT.

Results
Formation energy from raw total energies in eV per atom: -1.53

a b c (Å): 4.189 4.189 16.497
angles (deg): 97.63 97.63 59.95
Atoms (fractional coordinates):
Cs 0.120 0.120 0.359
Cs 0.880 0.880 0.641
Ac 0.295 0.295 0.884
Ac 0.705 0.705 0.116
O 0.381 0.381 0.143
O 0.619 0.619 0.857

=====

Computed, not measured: Cs5AcO4 after structural relaxation at the PBE level of DFT.

Results
Formation energy from raw total energies in eV per atom: -1.57

a b c (Å): 9.847 9.847 8.232
angles (deg): 102.41 102.41 23.39
Atoms (fractional coordinates):
Cs 0.000 0.000 0.000
Cs 0.341 0.341 0.649
Cs 0.345 0.345 0.191
Cs 0.655 0.655 0.809
Cs 0.659 0.659 0.351
Ac 0.000 0.000 0.500
O 0.136 0.136 0.570
O 0.498 0.498 0.293
O 0.502 0.502 0.707
O 0.864 0.864 0.430

=====

Computed, not measured: Cs3Ac2O4 after structural relaxation at the PBE level of DFT.

Results
Formation energy from raw total energies in eV per atom: -2.01

a b c (Å): 7.474 7.474 11.162
angles (deg): 124.52 124.52 33.01
Atoms (fractional coordinates):
Cs 0.000 0.000 0.000
Cs 0.203 0.203 0.828
Cs 0.797 0.797 0.172
Ac 0.393 0.393 0.618
Ac 0.607 0.607 0.382
O 0.183 0.183 0.369
O 0.432 0.432 0.152
O 0.568 0.568 0.848
O 0.817 0.817 0.631

=====

Computed, not measured: CsAcO2 after structural relaxation at the PBE level of DFT.

Results
Formation energy from raw total energies in eV per atom: -2.50
Relative energy among the computed polymorphs in eV/atom: 0.000

a b c (Å): 7.364 7.364 7.364
angles (deg): 30.86 30.86 30.86
Atoms (fractional coordinates):
Cs 0.000 0.000 0.000
Ac 0.500 0.500 0.500
O 0.225 0.225 0.225
O 0.775 0.775 0.775

=====

Record-wise total magnetic moment values, in μB per atom: 0.667; 0.000; 0.000; 0.000; 0.002; 0.000
Record-wise V values, in Å³/atom: 43.285; 23.436; 41.279; 30.918; 30.451; 23.295